## ZnCrFe2 (meta-GGA SCAN)

Data for a PBEsol-optimized structure of ZnCrFe2.

The structure in POSCAR format:
```
ZnCrFe2
1.0
2.441 -0.003 0.000
-0.701 2.339 0.000
0.000 0.000 7.939
Cr Zn Fe
1 1 2
direct
0.500 0.500 0.000
0.500 0.500 0.500
0.000 0.000 0.240
0.000 0.000 0.760
```

Summary:
E_form in eV per atom: 0.0561
Fermi-level density of states in states/eV per atom: 0.60
M_tot in Bohr magnetons per cell: 4.2